(one)
The following is a DFT calculation (GGA-PBE) of a relaxed structure of Co4NiPd.

Cell: 4.471 4.471 4.692 Å, 90.00 90.00 117.52°
Fractional positions:
Co  0.000  0.500  0.242
Co  0.000  0.500  0.758
Co  0.500  0.000  0.242
Co  0.500  0.000  0.758
Ni  0.000  0.000  0.000
Pd  0.500  0.500  0.500

Summary:
SG   Cmmm, No. 65
Theoretical density   8.0 g/cm³
D(E_F)   6.41 states/eV per cell



(two)
The following is a DFT calculation (GGA-PBE) of a relaxed structure of Co4NiPd.

Cell: 4.691 4.691 4.691 Å, 60.00 60.00 60.00°
Fractional positions:
Co  0.125  0.125  0.125
Co  0.125  0.125  0.624
Co  0.125  0.624  0.125
Co  0.624  0.125  0.125
Ni  0.500  0.500  0.500
Pd  0.750  0.750  0.750

Summary:
SG   F-43m, No. 216
Theoretical density   9.1 g/cm³
D(E_F)   7.53 states/eV per cell



Stability ranking, top entry: (two); the second entry is 0.401 eV/atom less favorable.



(one)
The following is a DFT calculation (GGA-PBE) of a relaxed structure of PmCoNi.

Cell: 4.473 4.473 8.666 Å, 90.06 90.06 120.00°
Fractional positions:
Pm  0.167  0.833  0.750
Pm  0.833  0.167  0.250
Co  0.500  0.500  0.250
Co  0.500  0.500  0.750
Ni  0.500  0.500  0.000
Ni  0.500  0.500  0.500

Summary:
SG   C2/c, No. 15
Theoretical density   5.8 g/cm³
D(E_F)   9.01 states/eV per cell



(two)
The following is a DFT calculation (GGA-PBE) of a relaxed structure of PmCoNi.

Cell: 6.921 6.921 6.921 Å, 145.41 145.41 49.72°
Fractional positions:
Pm  0.157  0.157  0.000
Pm  0.843  0.843  0.000
Co  0.000  0.500  0.500
Co  0.500  0.000  0.500
Ni  0.398  0.398  0.000
Ni  0.602  0.602  0.000

Summary:
SG   I4/mmm, No. 139
Theoretical density   8.2 g/cm³
D(E_F)   7.22 states/eV per cell



Stability ranking, top entry: (two); the second entry is 0.799 eV/atom less favorable.



(one)
The following is a DFT calculation (GGA-PBE) of a relaxed structure of PmCoNi.

Cell: 3.968 3.968 3.975 Å, 90.00 90.00 120.00°
Fractional positions:
Pm  0.000  0.000  0.000
Co  0.667  0.333  0.500
Ni  0.333  0.667  0.500

Summary:
SG   P-6m2, No. 187
Theoretical density   8.0 g/cm³
D(E_F)   3.74 states/eV per cell



(two)
The following is a DFT calculation (GGA-PBE) of a relaxed structure of PmCoNi.

Cell: 5.646 5.646 5.646 Å, 139.10 88.92 105.25°
Fractional positions:
Pm  0.000  0.000  0.000
Pm  0.500  0.000  0.500
Co  0.425  0.675  0.750
Co  0.575  0.325  0.250
Ni  0.088  0.338  0.750
Ni  0.912  0.662  0.250

Summary:
SG   Imma, No. 74
Theoretical density   8.0 g/cm³
D(E_F)   3.60 states/eV per cell



Stability ranking, top entry: (two); the second entry is 0.036 eV/atom less favorable.



(one)
The following is a DFT calculation (GGA-PBE) of a relaxed structure of Pm2CoNi.

Cell: 4.871 4.871 4.871 Å, 60.00 60.00 60.00°
Fractional positions:
Pm  0.250  0.250  0.250
Pm  0.750  0.750  0.750
Co  0.000  0.000  0.000
Ni  0.500  0.500  0.500

Summary:
SG   Fm-3m, No. 225
Theoretical density   8.3 g/cm³
D(E_F)   3.14 states/eV per cell



(two)
The following is a DFT calculation (GGA-PBE) of a relaxed structure of Pm2CoNi.

Cell: 3.960 3.960 7.434 Å, 105.37 105.37 60.00°
Fractional positions:
Pm  0.000  0.000  0.000
Pm  0.176  0.176  0.529
Co  0.755  0.755  0.265
Ni  0.421  0.421  0.264

Summary:
SG   Cm, No. 8
Theoretical density   7.0 g/cm³
D(E_F)   3.70 states/eV per cell



(three)
The following is a DFT calculation (GGA-PBE) of a relaxed structure of Pm2CoNi.

Cell: 3.442 3.442 6.956 Å, 90.00 90.00 90.00°
Fractional positions:
Pm  0.000  0.000  0.247
Pm  0.000  0.000  0.753
Co  0.500  0.500  0.000
Ni  0.500  0.500  0.500

Summary:
SG   P4/mmm, No. 123
Theoretical density   8.2 g/cm³
D(E_F)   1.73 states/eV per cell



Stability ranking, top entry: (two); the second entry is 0.066 eV/atom less favorable.



(one)
The following is a DFT calculation (GGA-PBE) of a relaxed structure of Pm3CoNi.

Cell: 8.017 3.791 8.117 Å, 90.00 100.64 90.00°
Fractional positions:
Pm  0.000  0.000  0.000
Pm  0.009  0.500  0.383
Pm  0.286  0.500  0.783
Pm  0.379  0.000  0.376
Pm  0.614  0.500  0.120
Pm  0.725  0.500  0.644
Co  0.240  0.500  0.136
Co  0.743  0.000  0.372
Ni  0.021  0.000  0.644
Ni  0.580  0.000  0.839

Summary:
SG   Pm, No. 6
Theoretical density   7.6 g/cm³
D(E_F)   8.96 states/eV per cell



(two)
The following is a DFT calculation (GGA-PBE) of a relaxed structure of Pm3CoNi.

Cell: 8.754 7.080 8.268 Å, 90.00 107.35 90.00°
Fractional positions:
Pm  0.050  0.012  0.215
Pm  0.050  0.488  0.715
Pm  0.294  0.659  0.116
Pm  0.294  0.841  0.616
Pm  0.347  0.186  0.008
Pm  0.347  0.314  0.508
Pm  0.653  0.686  0.492
Pm  0.653  0.814  0.992
Pm  0.706  0.159  0.384
Pm  0.706  0.341  0.884
Pm  0.950  0.512  0.285
Pm  0.950  0.988  0.785
Co  0.054  0.163  0.522
Co  0.054  0.337  0.022
Co  0.946  0.663  0.978
Co  0.946  0.837  0.478
Ni  0.412  0.530  0.838
Ni  0.412  0.970  0.338
Ni  0.588  0.030  0.662
Ni  0.588  0.470  0.162

Summary:
SG   P2_1/c, No. 14
Theoretical density   7.5 g/cm³
D(E_F)   18.95 states/eV per cell



Stability ranking, top entry: (two); the second entry is 0.043 eV/atom less favorable.



(one)
The following is a DFT calculation (GGA-PBE) of a relaxed structure of Pm8Co2Ni.

Cell: 9.077 9.077 6.693 Å, 101.59 101.59 32.69°
Fractional positions:
Pm  0.043  0.043  0.286
Pm  0.200  0.200  0.836
Pm  0.329  0.329  0.531
Pm  0.412  0.412  0.064
Pm  0.588  0.588  0.936
Pm  0.671  0.671  0.469
Pm  0.800  0.800  0.164
Pm  0.957  0.957  0.714
Co  0.202  0.202  0.234
Co  0.798  0.798  0.766
Ni  0.500  0.500  0.500

Summary:
SG   C2/m, No. 12
Theoretical density   7.6 g/cm³
D(E_F)   13.28 states/eV per cell



(two)
The following is a DFT calculation (GGA-PBE) of a relaxed structure of Pm8Co2Ni.

Cell: 7.300 7.300 6.429 Å, 101.35 101.35 108.13°
Fractional positions:
Pm  0.000  0.000  0.000
Pm  0.010  0.292  0.568
Pm  0.173  0.548  0.194
Pm  0.292  0.010  0.568
Pm  0.440  0.717  0.830
Pm  0.548  0.173  0.194
Pm  0.717  0.440  0.830
Pm  0.729  0.729  0.421
Co  0.054  0.683  0.714
Co  0.683  0.054  0.714
Ni  0.374  0.374  0.440

Summary:
SG   Cm, No. 8
Theoretical density   7.2 g/cm³
D(E_F)   10.33 states/eV per cell



Stability ranking, top entry: (one); the second entry is 0.041 eV/atom less favorable.